1.
DFT (GGA-PBE) results for a geometry-optimized LiPaSe2 structure.

a b c (Å): 3.9525 3.9525 24.3999
angles (deg): 90.00 90.00 120.00
Space group R-3m (No. 166, hexagonal axes)
Asymmetric unit:
1 Li 0.0000 0.0000 0.0000 x3
2 Pa 0.0000 0.0000 0.5000 x3
3 Se 0.0000 0.0000 0.3948 x6

M_tot = 1.2 μB/cell
D(E_F) = 6.19 states/eV per cell
raw formation energy = -0.49 eV per atom
polymorph energy (0 for the lowest one) = 0.780 eV per atom

2.
DFT (GGA-PBE) results for a geometry-optimized Ce15ThGa4 structure.

a b c (Å): 4.657 4.657 23.541
angles (deg): 90.00 90.00 90.00
Space group P4/mmm (No. 123)
Asymmetric unit:
1 Ce 0.000 0.000 0.000 x1
2 Ce 0.000 0.000 0.206 x2
3 Ce 0.000 0.000 0.402 x2
4 Ce 0.000 0.500 0.108 x4
5 Ce 0.000 0.500 0.304 x4
6 Ce 0.000 0.500 0.500 x2
7 Th 0.500 0.500 0.000 x1
8 Ga 0.500 0.500 0.205 x2
9 Ga 0.500 0.500 0.402 x2

M_tot = 9.6 μB/cell
DFT total energy = -112.2 eV per cell
D(E_F) = 57.39 states/eV per cell

3.
DFT (GGA-PBE) results for a geometry-optimized NbGaSb2Os structure.

a b c (Å): 5.007 5.007 4.743
angles (deg): 90.00 90.00 90.00
Space group P4/mmm (No. 123)
Asymmetric unit:
1 Nb 0.000 0.000 0.000 x1
2 Ga 0.000 0.000 0.500 x1
3 Sb 0.000 0.500 0.500 x2
4 Os 0.500 0.500 0.000 x1

M_tot = 1.2 μB/cell
D(E_F) = 6.51 states/eV per cell
raw formation energy = 1.69 eV per atom

4.
DFT (GGA-PBE) results for a geometry-optimized CuPWS2 structure.

a b c (Å): 4.611 4.611 4.863
angles (deg): 90.00 90.00 90.00
Space group P4/mmm (No. 123)
Asymmetric unit:
1 Cu 0.000 0.000 0.000 x1
2 P 0.500 0.500 0.000 x1
3 W 0.500 0.500 0.500 x1
4 S 0.000 0.500 0.500 x2

M_tot = 0.0 μB/cell
D(E_F) = 3.62 states/eV per cell
raw formation energy = 0.54 eV per atom
polymorph energy (0 for the lowest one) = 0.000 eV per atom